[1]
{
  "formula": "CeHoTc",
  "functional": "GGA-PBE",
  "state": "optimized geometry",
  "volume_a3_per_cell": 140.7,
  "m_tot_mub_per_cell": 0.000,
  "n_ef_per_ev_atom": 0.869,
  "e_form_ev_per_fu": -0.2,
  "relative_energy_mev_per_atom": 10,
  "total_energy_ev_per_cell": -42.1,
  "lattice": [[5.0642, 0.0000, 0.0000], [0.0000, 3.5466, 0.0000], [-2.0938, 0.0000, 7.8333]],
  "species": ["Ce", "Ce", "Ho", "Ho", "Tc", "Tc"],
  "frac_coords": [[0.2461, 0.2500, 0.0353], [0.7539, 0.7500, 0.9647], [0.2053, 0.7500, 0.3830], [0.7947, 0.2500, 0.6170], [0.3409, 0.7500, 0.7532], [0.6591, 0.2500, 0.2468]]
}



[2]
{
  "formula": "Zr2IrAu",
  "functional": "GGA-PBE",
  "state": "optimized geometry",
  "volume_a3_per_cell": 76.6,
  "m_tot_mub_per_cell": 0.000,
  "n_ef_per_ev_atom": 0.799,
  "e_form_ev_per_fu": -2.5,
  "total_energy_ev_per_cell": -31.8,
  "lattice": [[3.0985, 0.0000, 0.0000], [0.0000, 3.3642, 0.0000], [0.0000, 0.0000, 7.3473]],
  "species": ["Zr", "Zr", "Ir", "Au"],
  "frac_coords": [[0.0000, 0.0000, 0.2329], [0.0000, 0.0000, 0.7671], [0.5000, 0.5000, 0.0000], [0.5000, 0.5000, 0.5000]]
}